Entry from Alexandria: an optimized crystal structure of K2NaLiB (GGA-PBE).

Lattice parameters (Å, degrees): 6.6438 6.6438 5.3611 90.00 90.00 90.00
Last column: nearest neighbours and their distance in Å.
Sites, in units of the cell vectors:
K: 0.0000 0.5000 0.0000  2 Na 3.32
K: 0.5000 0.0000 0.0000  2 Na 3.32
Na: 0.0000 0.0000 0.0000  2 Li 2.68
Li: 0.0000 0.0000 0.5000  2 Na 2.68
B: 0.5000 0.5000 0.5000  8 K 4.27, 4 Li 4.70

Output
E_form, eV per atom: 1.24
Symmetry: P4/mmm

---

Entry from Alexandria: an optimized crystal structure of PuZrSe (GGA-PBE).

Lattice parameters (Å, degrees): 4.7045 4.7045 3.6372 90.00 90.00 120.00
Last column: nearest neighbours and their distance in Å.
Sites, in units of the cell vectors:
Pu: 0.0000 0.0000 0.0000  6 Zr 3.27, 6 Se 3.27, 2 Pu 3.64
Zr: 0.6667 0.3333 0.5000  3 Se 2.72
Se: 0.3333 0.6667 0.5000  3 Zr 2.72

Output
Formation energy (no corrections), meV/atom: -437
Symmetry: P-6m2

---

Entry from Alexandria: an optimized crystal structure of Li2PmTiF8 (GGA-PBE).

Lattice parameters (Å, degrees): 4.7366 4.8893 6.9367 86.75 87.21 85.26
Last column: nearest neighbours and their distance in Å.
Sites, in units of the cell vectors:
Li: 0.0389 0.0382 0.2604  4 F 1.95-2.02
Li: 0.9611 0.9618 0.7396  4 F 1.95-2.02
Pm: 0.5000 0.5000 0.5000  6 F 2.24-2.31
Ti: 0.5000 0.5000 0.0000  6 F 1.89-2.08
F: 0.1728 0.1939 0.5002  2 Li 2.02-2.21, 1 Pm 2.24
F: 0.2261 0.2397 0.0320  1 Ti 1.89, 1 Li 2.02
F: 0.2951 0.7034 0.7700  1 Li 1.95, 1 Ti 2.07
F: 0.3052 0.7141 0.2267  1 Li 1.96, 1 Ti 2.08
F: 0.6948 0.2859 0.7733  1 Li 1.96, 1 Ti 2.08
F: 0.7049 0.2966 0.2300  1 Li 1.95, 1 Ti 2.07
F: 0.7739 0.7603 0.9680  1 Ti 1.89, 1 Li 2.02
F: 0.8272 0.8061 0.4998  2 Li 2.02-2.21, 1 Pm 2.24

Output
Formation energy (no corrections), meV/atom: -3394
Symmetry: P-1

---

Entry from Alexandria: an optimized crystal structure of NdYCd4 (GGA-PBE).

Lattice parameters (Å, degrees): 3.4761 8.7008 5.0214 90.00 90.12 90.00
Last column: nearest neighbours and their distance in Å.
Sites, in units of the cell vectors:
Nd: 0.0000 0.0000 0.0000  12 Cd 3.39-3.41, 2 Nd 3.48
Y: 0.0000 0.5000 0.5000  12 Cd 3.35-3.37, 2 Y 3.48
Cd: 0.5000 0.1706 0.5000  3 Cd 2.90-2.97
Cd: 0.5000 0.3367 0.0000  3 Cd 2.84-2.90
Cd: 0.5000 0.6633 0.0000  3 Cd 2.84-2.90
Cd: 0.5000 0.8294 0.5000  3 Cd 2.90-2.97

Output
E_form, eV per atom: -0.34
Symmetry: P2/m

---

Entry from Alexandria: an optimized crystal structure of Li2CaPr2Sb2 (GGA-PBE).

Lattice parameters (Å, degrees): 9.7999 9.7999 9.7999 28.40 28.40 28.40
Last column: nearest neighbours and their distance in Å.
Sites, in units of the cell vectors:
Li: 0.0981 0.0981 0.0981  3 Sb 2.78
Li: 0.9019 0.9019 0.9019  3 Sb 2.78
Ca: 0.5000 0.5000 0.5000  6 Li 3.38, 6 Sb 3.39, 2 Pr 3.66
Pr: 0.3701 0.3701 0.3701  3 Sb 3.26, 3 Li 3.27, 3 Pr 3.46
Pr: 0.6299 0.6299 0.6299  3 Sb 3.26, 3 Li 3.27, 3 Pr 3.46
Sb: 0.2359 0.2359 0.2359  3 Li 2.78
Sb: 0.7641 0.7641 0.7641  3 Li 2.78

Output
Formation energy (no corrections), meV/atom: -611
Symmetry: R-3m

---

Entry from Alexandria: an optimized crystal structure of PbClF (GGA-PBE).

Lattice parameters (Å, degrees): 4.2289 4.2289 4.3106 90.00 90.00 120.00
Last column: nearest neighbours and their distance in Å.
Sites, in units of the cell vectors:
Pb: 0.0000 0.0000 0.0000  3 F 2.44
Cl: 0.6667 0.3333 0.4981  6 Pb 3.25-3.26, 6 F 3.26
F: 0.3333 0.6667 0.9980  3 Pb 2.44

Output
Formation energy (no corrections), meV/atom: -1718
Symmetry: P3m1

---

Entry from Alexandria: an optimized crystal structure of KSiGe (GGA-PBE).

Lattice parameters (Å, degrees): 4.0355 4.0355 5.7520 90.00 90.00 120.00
Last column: nearest neighbours and their distance in Å.
Sites, in units of the cell vectors:
K: 0.0000 0.0000 0.0000  3 Si 3.41, 3 Ge 3.43
Si: 0.6667 0.3333 0.4340  3 Ge 2.44
Ge: 0.3333 0.6667 0.5618  3 Si 2.44

Output
Formation energy (no corrections), meV/atom: -18
Symmetry: P3m1

---

Entry from Alexandria: an optimized crystal structure of CePaSb2N (GGA-PBE).

Lattice parameters (Å, degrees): 4.1330 4.1330 16.1271 90.00 90.00 90.00
Last column: nearest neighbours and their distance in Å.
Sites, in units of the cell vectors:
Ce: 0.2500 0.2500 0.0647  4 N 2.32
Ce: 0.7500 0.7500 0.9353  4 N 2.32
Pa: 0.2500 0.2500 0.6257  6 Sb 2.94-3.25
Pa: 0.7500 0.7500 0.3743  6 Sb 2.94-3.25
Sb: 0.2500 0.2500 0.4240  5 Pa 3.03-3.25
Sb: 0.2500 0.2500 0.8080  1 Pa 2.94
Sb: 0.7500 0.7500 0.1920  1 Pa 2.94
Sb: 0.7500 0.7500 0.5760  5 Pa 3.03-3.25
N: 0.2500 0.7500 0.0000  4 Ce 2.32
N: 0.7500 0.2500 0.0000  4 Ce 2.32

Output
Formation energy (no corrections), meV/atom: -672
Symmetry: P4/nmm

---

Entry from Alexandria: an optimized crystal structure of Rb2LiPtO4 (GGA-PBE).

Lattice parameters (Å, degrees): 11.4143 9.5567 7.3992 83.59 56.31 40.10
Last column: nearest neighbours and their distance in Å.
Sites, in units of the cell vectors:
Rb: 0.0436 0.0436 0.7064  2 O 2.71
Rb: 0.2936 0.2936 0.9564  2 O 2.71
Rb: 0.7064 0.7064 0.0436  2 O 2.71
Rb: 0.9564 0.9564 0.2936  2 O 2.71
Li: 0.1250 0.1250 0.1250  4 O 1.97
Li: 0.8750 0.8750 0.8750  4 O 1.97
Pt: 0.3750 0.3750 0.3750  4 O 1.91
Pt: 0.6250 0.6250 0.6250  4 O 1.91
O: 0.0236 0.7019 0.5337  1 Pt 1.91, 1 Li 1.97
O: 0.2408 0.5337 0.7019  1 Pt 1.91, 1 Li 1.97
O: 0.2981 0.9764 0.7592  1 Pt 1.91, 1 Li 1.97
O: 0.4663 0.7592 0.9764  1 Pt 1.91, 1 Li 1.97
O: 0.5337 0.2408 0.0236  1 Pt 1.91, 1 Li 1.97
O: 0.7019 0.0236 0.2408  1 Pt 1.91, 1 Li 1.97
O: 0.7592 0.4663 0.2981  1 Pt 1.91, 1 Li 1.97
O: 0.9764 0.2981 0.4663  1 Pt 1.91, 1 Li 1.97

Output
Formation energy (no corrections), meV/atom: -1017
Symmetry: Fddd

---

Entry from Alexandria: an optimized crystal structure of K4Ho3PuS8 (GGA-PBE).

Lattice parameters (Å, degrees): 8.7205 8.7205 8.7205 55.50 55.50 55.50
Last column: nearest neighbours and their distance in Å.
Sites, in units of the cell vectors:
K: 0.0000 0.0000 0.0000  6 S 3.19
K: 0.0000 0.5000 0.5000  6 S 3.21-3.23
K: 0.5000 0.0000 0.5000  6 S 3.21-3.23
K: 0.5000 0.5000 0.0000  6 S 3.21-3.23
Ho: 0.0000 0.0000 0.5000  6 S 2.76-2.77
Ho: 0.0000 0.5000 0.0000  6 S 2.76-2.77
Ho: 0.5000 0.0000 0.0000  6 S 2.76-2.77
Pu: 0.5000 0.5000 0.5000  6 S 2.80
S: 0.2294 0.7358 0.7358  2 Ho 2.76, 1 Pu 2.80
S: 0.2337 0.2337 0.2337  3 Ho 2.77
S: 0.2642 0.2642 0.7706  2 Ho 2.76, 1 Pu 2.80
S: 0.2642 0.7706 0.2642  2 Ho 2.76, 1 Pu 2.80
S: 0.7358 0.2294 0.7358  2 Ho 2.76, 1 Pu 2.80
S: 0.7358 0.7358 0.2294  2 Ho 2.76, 1 Pu 2.80
S: 0.7663 0.7663 0.7663  3 Ho 2.77
S: 0.7706 0.2642 0.2642  2 Ho 2.76, 1 Pu 2.80

Output
Formation energy (no corrections), meV/atom: -1802
Symmetry: R-3m

---

Entry from Alexandria: an optimized crystal structure of CsGa3Ge (GGA-PBE).

Lattice parameters (Å, degrees): 5.8694 5.8694 5.8694 90.00 90.00 90.00
Last column: nearest neighbours and their distance in Å.
Sites, in units of the cell vectors:
Cs: 0.0000 0.0000 0.0000  6 Ga 2.93
Ga: 0.0000 0.0000 0.5000  2 Cs 2.93
Ga: 0.0000 0.5000 0.0000  2 Cs 2.93
Ga: 0.5000 0.0000 0.0000  2 Cs 2.93
Ge: 0.5000 0.5000 0.5000  12 Ga 4.15

Output
E_form, eV per atom: 1.42
Symmetry: Pm-3m

---

Looking at total magnetization for the records above, in order, we have 1.803 5.773 1.000 0.000 0.000 0.000 0.000 0.208 2.991 5.000 0.000 μB/f.u..
Looking at total energy for the records above, in order, we have -1.18 -9.23 -6.01 -2.82 -3.99 -4.19 -3.73 -7.07 -4.73 -5.89 -1.49 eV per atom.